(1)
This record from Alexandria describes a crystal of SrCrSBr2 relaxed with PBEsol. The functional is meta-GGA SCAN.

Structure (extended XYZ):
```
5
Lattice="-5.229 -1.000 -0.670 1.178 -3.290 -4.284 0.388 -4.322 3.425" Properties=species:S:1:pos:R:3 pbc="T T T"
Br 0.589 -1.645 -2.142
Br 0.194 -2.161 1.713
Sr -2.615 -0.500 -0.335
Cr -1.832 -4.306 -0.764
S 0.000 0.000 0.000
```

Output
Symmetry: No. 123
ΔE_f (raw) (eV per atom): -0.1408
M_tot (μB per atom): 1.204


(2)
This record from Alexandria describes a crystal of Ca2TaTl relaxed with PBEsol. The functional is meta-GGA SCAN.

Structure (extended XYZ):
```
4
Lattice="-1.226 -4.407 2.422 -0.031 -4.468 -2.614 3.650 -3.556 0.909" Properties=species:S:1:pos:R:3 pbc="T T T"
Ca 0.000 0.000 0.000
Ca 1.795 -9.323 0.538
Tl 0.598 -3.108 0.179
Ta 1.196 -6.215 0.358
```

Output
Symmetry: No. 216
Formation energy from the elements (kJ per mole of atoms): 50.68
M_tot (μB per atom): 0.780
Distance to the lowest polymorph of the same formula (meV/atom): 137.5


(3)
This record from Alexandria describes a crystal of LiIn3 relaxed with PBEsol. The functional is meta-GGA SCAN.

Structure (extended XYZ):
```
4
Lattice="3.352 0.000 0.000 -1.676 5.057 -0.028 0.000 -0.815 5.388" Properties=species:S:1:pos:R:3 pbc="T T T"
In 1.676 2.299 1.274
In 0.000 1.943 4.086
In 1.676 -0.407 2.694
Li 0.000 0.000 0.000
```

Output
Symmetry: No. 12
Formation energy from the elements (kJ per mole of atoms): -15.16
M_tot (μB per atom): 0.000


(4)
This record from Alexandria describes a crystal of MoAsIrBr2 relaxed with PBEsol. The functional is meta-GGA SCAN.

Structure (extended XYZ):
```
5
Lattice="-1.879 2.069 -3.643 -4.275 0.952 2.746 1.992 4.516 1.537" Properties=species:S:1:pos:R:3 pbc="T T T"
Mo -2.081 3.768 0.320
Br 0.996 2.258 0.768
Br -2.138 0.476 1.373
As -0.940 1.034 -1.821
Ir 0.000 0.000 0.000
```

Output
Symmetry: No. 123
ΔE_f (raw) (eV per atom): 0.9425
M_tot (μB per atom): 0.925


(5)
This record from Alexandria describes a crystal of LiMoAs relaxed with PBEsol. The functional is meta-GGA SCAN.

Structure (extended XYZ):
```
3
Lattice="2.800 0.004 0.000 -0.849 2.668 0.000 -0.975 -1.336 6.404" Properties=species:S:1:pos:R:3 pbc="T T T"
Mo 0.975 1.336 2.008
As 0.000 0.000 0.118
Li 0.000 0.000 4.278
```

Output
Symmetry: No. 42
Formation energy from the elements (kJ per mole of atoms): 9.29
M_tot (μB per atom): 0.000


(6)
This record from Alexandria describes a crystal of CrRh4 relaxed with PBEsol. The functional is meta-GGA SCAN.

Structure (extended XYZ):
```
5
Lattice="3.749 0.000 0.000 1.874 4.179 0.000 1.874 0.000 4.179" Properties=species:S:1:pos:R:3 pbc="T T T"
Rh 3.749 3.365 1.672
Rh 5.623 2.507 3.365
Rh 3.749 0.814 2.507
Rh 1.874 1.672 0.814
Cr 0.000 0.000 0.000
```

Output
Symmetry: No. 87
Formation energy from the elements (kJ per mole of atoms): -12.20
M_tot (μB per atom): 0.362
Distance to the lowest polymorph of the same formula (meV/atom): 0.0


(7)
This record from Alexandria describes a crystal of YCuRe2 relaxed with PBEsol. The functional is meta-GGA SCAN.

Structure (extended XYZ):
```
4
Lattice="2.752 -0.010 0.000 -0.566 4.917 0.000 -1.093 -2.454 4.751" Properties=species:S:1:pos:R:3 pbc="T T T"
Cu 1.376 -0.005 0.000
Re -0.546 -1.227 2.376
Re 0.546 1.227 2.376
Y -0.283 2.458 0.000
```

Output
Symmetry: No. 12
Formation energy from the elements (kJ per mole of atoms): 39.12
M_tot (μB per atom): 0.000
Distance to the lowest polymorph of the same formula (meV/atom): 71.4


(8)
This record from Alexandria describes a crystal of TlSBr2 relaxed with PBEsol. The functional is meta-GGA SCAN.

Structure (extended XYZ):
```
8
Lattice="-0.011 -5.595 -1.233 2.441 1.111 -5.063 6.354 1.461 6.626" Properties=species:S:1:pos:R:3 pbc="T T T"
Br 5.321 0.650 3.661
Br 3.720 -1.337 -3.363
Br 6.033 -1.821 1.557
Br 2.496 -3.538 -1.194
S 3.779 -3.188 1.123
S 1.215 -2.242 -3.148
Tl 5.005 0.165 -0.792
Tl 0.000 0.000 0.000
```

Output
Symmetry: No. 122
ΔE_f (raw) (eV per atom): 0.0994
M_tot (μB per atom): 0.000


(9)
This record from Alexandria describes a crystal of Al4Cr relaxed with PBEsol. The functional is meta-GGA SCAN.

Structure (extended XYZ):
```
5
Lattice="-3.093 0.648 -1.363 -2.064 -4.100 -1.610 -3.473 -0.306 3.392" Properties=species:S:1:pos:R:3 pbc="T T T"
Al -2.111 -1.525 -0.279
Al -4.363 -0.567 0.943
Al -6.519 -2.233 0.698
Al -4.267 -3.191 -0.524
Cr 0.000 0.000 0.000
```

Output
Symmetry: No. 87
Formation energy from the elements (kJ per mole of atoms): -9.24
M_tot (μB per atom): 0.156
Distance to the lowest polymorph of the same formula (meV/atom): 0.0


(10)
This record from Alexandria describes a crystal of Sr2ReAs relaxed with PBEsol. The functional is meta-GGA SCAN.

Structure (extended XYZ):
```
4
Lattice="4.340 0.000 0.000 0.000 4.645 0.000 0.000 0.000 4.645" Properties=species:S:1:pos:R:3 pbc="T T T"
As 2.170 2.322 2.322
Sr 0.000 2.322 0.000
Sr 0.000 0.000 2.322
Re 2.170 0.000 0.000
```

Output
Symmetry: No. 123
Formation energy from the elements (kJ per mole of atoms): 45.77
M_tot (μB per atom): 0.469


(11)
This record from Alexandria describes a crystal of MnFeP2S relaxed with PBEsol. The functional is meta-GGA SCAN.

Structure (extended XYZ):
```
5
Lattice="-1.201 1.014 3.783 -2.728 -3.056 -0.048 3.466 -3.124 1.938" Properties=species:S:1:pos:R:3 pbc="T T T"
P -1.364 -1.528 -0.024
P -0.601 0.507 1.892
Mn -0.232 -2.583 2.837
S 1.733 -1.562 0.969
Fe 0.000 0.000 0.000
```

Output
Symmetry: No. 123
ΔE_f (raw) (eV per atom): 0.3676
M_tot (μB per atom): 0.940


(12)
This record from Alexandria describes a crystal of Na4Co3P4H18O24 relaxed with PBEsol. The functional is meta-GGA SCAN.

Structure (extended XYZ):
```
106
Lattice="-0.888 6.587 -3.143 -7.330 1.438 5.087 8.728 4.972 11.171" Properties=species:S:1:pos:R:3 pbc="T T T"
H 1.790 5.043 5.313
H -1.877 7.964 3.113
H 1.246 6.378 11.437
H -4.239 8.187 4.583
H 4.172 8.999 6.884
H -3.663 3.999 6.231
H -1.140 11.162 11.215
H -0.496 2.497 3.557
H 0.702 7.286 1.589
H 2.008 9.037 11.641
H 6.051 8.862 9.970
H -3.300 2.979 5.068
H 3.809 10.019 8.046
H 1.451 6.422 4.548
H -5.542 4.136 3.145
H -1.281 7.955 7.802
H -4.606 7.674 3.123
H -0.345 10.181 8.779
H 5.115 5.323 9.992
H -0.193 5.712 11.526
H 3.541 6.314 6.590
H 0.854 2.817 4.335
H -1.500 3.961 1.474
H 6.286 7.503 10.806
H 4.342 4.976 6.470
H -3.032 6.683 6.525
H -0.943 6.576 8.567
H -2.208 2.919 2.402
H 1.005 10.501 9.557
H 2.386 5.034 10.001
H 2.717 10.079 10.713
H -3.834 8.022 6.645
H -0.737 6.620 1.677
H 4.748 4.811 8.532
H 1.649 1.836 1.899
H -5.778 5.495 2.309
Na 0.127 7.407 13.873
Na -3.087 5.542 3.790
Na -0.820 4.250 5.917
Na 3.596 7.456 9.324
Na -0.765 8.429 10.793
Na 0.381 5.591 -0.759
Na 1.274 4.569 2.322
Na 1.329 8.748 7.197
P 0.263 10.971 12.945
P -0.790 7.835 5.062
P -3.896 3.986 8.924
P 4.405 9.012 4.190
P 3.775 5.823 12.214
P 1.299 5.163 8.052
P -3.267 7.175 0.900
P 0.246 2.027 0.170
O 3.559 7.773 3.843
O -1.508 8.595 3.867
O 2.795 9.130 11.046
O -3.050 5.225 9.272
O 2.361 2.237 4.929
O -2.296 7.002 2.083
O -0.238 5.184 8.362
O 4.243 3.588 7.381
O 1.478 4.265 6.794
O -3.734 9.410 5.734
O 5.572 8.147 10.517
O 3.593 9.111 7.698
O 0.217 6.431 1.427
O -0.406 11.721 11.715
O 4.308 5.917 6.106
O -7.028 6.580 1.911
O 6.819 9.965 9.151
O -3.799 7.081 7.009
O 7.536 6.418 11.203
O 0.025 3.236 3.972
O -6.311 3.033 3.963
O -4.522 7.942 1.425
O -4.644 7.425 4.088
O -0.969 8.733 6.320
O 0.484 9.762 9.143
O 0.746 7.814 4.752
O 5.153 5.573 9.027
O 0.239 3.527 0.383
O 2.212 11.585 10.221
O 1.918 5.522 4.440
O -5.064 4.851 2.597
O 2.017 4.403 9.248
O -1.409 7.476 8.675
O 5.133 8.886 5.541
O -2.286 3.868 2.068
O -1.375 6.451 5.259
O -4.624 4.111 7.573
O -3.084 3.887 5.417
O 0.269 9.471 12.731
O -1.703 1.412 2.894
O 0.915 1.277 1.399
O 4.145 7.155 12.892
O 1.884 6.547 7.856
O -1.853 10.761 8.186
O 5.031 5.056 11.690
O 2.805 5.996 11.032
O 0.292 6.567 11.688
O -3.637 5.843 0.223
Co 1.692 9.206 3.716
Co -5.426 1.282 3.729
Co 3.920 5.780 4.014
Co 5.935 11.716 9.386
Co -1.183 3.792 9.398
Co -4.109 4.013 0.972
```

Output
Symmetry: No. 14
M_tot (μB per atom): 0.170


Number 1: total DFT energy (no corrections) -17.982 eV/atom. Number 2: total DFT energy (no corrections) -39.042 eV/atom. Number 3: total DFT energy (no corrections) -25.794 eV/atom. Number 4: total DFT energy (no corrections) -32.076 eV/atom. Number 5: total DFT energy (no corrections) -19.059 eV/atom. Number 6: total DFT energy (no corrections) -30.821 eV/atom. Number 7: total DFT energy (no corrections) -45.904 eV/atom. Number 8: total DFT energy (no corrections) -30.127 eV/atom. Number 9: total DFT energy (no corrections) -9.974 eV/atom. Number 10: total DFT energy (no corrections) -33.485 eV/atom. Number 11: total DFT energy (no corrections) -12.994 eV/atom. Number 12: total DFT energy (no corrections) -7.719 eV/atom.